[1]
KScAg2: single point on PBEsol structure, meta-GGA SCAN.

## Properties
- Calculated volume: 180.42 Å³ per cell
- ΔE_f: 0.092 eV per atom
- Energy above the lowest structure with this stoichiometry: 176 meV per atom

abc: 7.5655 7.5830 3.1449
angles: 90.00 90.00 90.00
Space group Cmmm (No. 65)
Unique sites:
1 K 0.0000 0.0000 0.0000 [2 per cell]
2 Sc 0.0000 0.5000 0.0000 [2 per cell]
3 Ag 0.2500 0.2500 0.5000 [4 per cell]



[2]
KScAg2: single point on PBEsol structure, meta-GGA SCAN.

## Properties
- Calculated volume: 293.29 Å³ per cell
- ΔE_f: 0.166 eV per atom
- Energy above the lowest structure with this stoichiometry: 250 meV per atom

abc: 3.4274 3.4274 28.8302
angles: 90.00 90.00 120.00
Space group R-3m (No. 166, hexagonal axes)
Unique sites:
1 K 0.0000 0.0000 0.0000 [3 per cell]
2 Sc 0.0000 0.0000 0.5000 [3 per cell]
3 Ag 0.0000 0.0000 0.2369 [6 per cell]



[3]
K2Sc2Ag: single point on PBEsol structure, meta-GGA SCAN.

## Properties
- Calculated volume: 357.55 Å³ per cell
- ΔE_f: 0.527 eV per atom
- Energy above the lowest structure with this stoichiometry: 0 meV per atom

abc: 4.0265 4.0265 22.0536
angles: 90.00 90.00 90.00
Space group I4/mmm (No. 139)
Unique sites:
1 K 0.0000 0.0000 0.0910 [4 per cell]
2 Sc 0.0000 0.5000 0.2500 [4 per cell]
3 Ag 0.0000 0.0000 0.5000 [2 per cell]



[4]
KScAg2: single point on PBEsol structure, meta-GGA SCAN.

## Properties
- Calculated volume: 97.28 Å³ per cell
- ΔE_f: -0.084 eV per atom
- Energy above the lowest structure with this stoichiometry: 0 meV per atom

abc: 3.4779 3.4779 8.0427
angles: 90.00 90.00 90.00
Space group P4/mmm (No. 123)
Unique sites:
1 K 0.0000 0.0000 0.0000 [1 per cell]
2 Sc 0.0000 0.0000 0.5000 [1 per cell]
3 Ag 0.5000 0.5000 0.3181 [2 per cell]



[5]
KScAg2: single point on PBEsol structure, meta-GGA SCAN.

## Properties
- Calculated volume: 184.31 Å³ per cell
- ΔE_f: 0.172 eV per atom
- Energy above the lowest structure with this stoichiometry: 256 meV per atom

abc: 3.0809 5.2956 11.2968
angles: 90.00 90.00 90.00
Space group Imm2 (No. 44)
Unique sites:
1 K 0.0000 0.0000 0.0000 [2 per cell]
2 Sc 0.0000 0.5000 0.7995 [2 per cell]
3 Ag 0.0000 0.0000 0.5236 [2 per cell]
4 Ag 0.0000 0.5000 0.2328 [2 per cell]



[6]
K2Sc2Ag: single point on PBEsol structure, meta-GGA SCAN.

## Properties
- Calculated volume: 293.10 Å³ per cell
- ΔE_f: 0.811 eV per atom
- Energy above the lowest structure with this stoichiometry: 283 meV per atom

abc: 4.0065 4.0065 18.2594
angles: 90.00 90.00 90.00
Space group I4/mmm (No. 139)
Unique sites:
1 K 0.0000 0.5000 0.2500 [4 per cell]
2 Sc 0.0000 0.0000 0.0727 [4 per cell]
3 Ag 0.0000 0.0000 0.5000 [2 per cell]



> calculated volume of number 4 (KScAg2)?

97.28 Å³ per cell



> Which value of energy above the lowest structure with this stoichiometry does entry 5 give?

256 meV per atom



> Which of these has the lowest ΔE_f?

number 4